Entry 1:
First-principles (PBE-GGA) data for an optimized crystal structure of HgSb2Ru, as listed in Alexandria via LeMat-Bulk.

Geometry as CIF:
```
data_HgSb2Ru
_chemical_formula_sum 'Hg1 Sb2 Ru1'
_symmetry_space_group_name_H-M 'P 1'
_symmetry_Int_Tables_number 1
_cell_length_a 3.494
_cell_length_b 6.611
_cell_length_c 5.803
_cell_angle_alpha 42.02
_cell_angle_beta 90.00
_cell_angle_gamma 90.00
loop_
_symmetry_equiv_pos_as_xyz
'x,y,z'
loop_
_atom_site_label
_atom_site_type_symbol
_atom_site_fract_x
_atom_site_fract_y
_atom_site_fract_z
_atom_site_occupancy
Sb1 Sb 0.000 0.000 0.000 1
Sb2 Sb 0.500 0.500 0.000 1
Ru1 Ru 0.000 0.000 0.500 1
Hg1 Hg 0.500 0.500 0.500 1
```

The calculation puts the formation energy from raw total energies at 0.4100 eV per atom.

Entry 2:
First-principles (PBE-GGA) data for an optimized crystal structure of TbNdAg3, as listed in Alexandria via LeMat-Bulk.

Geometry as CIF:
```
data_TbNdAg3
_chemical_formula_sum 'Tb2 Nd2 Ag6'
_symmetry_space_group_name_H-M 'P 1'
_symmetry_Int_Tables_number 1
_cell_length_a 3.587
_cell_length_b 4.817
_cell_length_c 14.217
_cell_angle_alpha 90.00
_cell_angle_beta 97.25
_cell_angle_gamma 90.00
loop_
_symmetry_equiv_pos_as_xyz
'x,y,z'
loop_
_atom_site_label
_atom_site_type_symbol
_atom_site_fract_x
_atom_site_fract_y
_atom_site_fract_z
_atom_site_occupancy
Nd1 Nd 0.925 0.750 0.850 1
Ag1 Ag 0.678 0.250 0.356 1
Tb1 Tb 0.210 0.750 0.419 1
Tb2 Tb 0.790 0.250 0.581 1
Ag2 Ag 0.476 0.250 0.952 1
Ag3 Ag 0.322 0.750 0.644 1
Ag4 Ag 0.378 0.250 0.757 1
Nd2 Nd 0.075 0.250 0.150 1
Ag5 Ag 0.622 0.750 0.243 1
Ag6 Ag 0.524 0.750 0.048 1
```

The polymorph energy (0 for the lowest one) is 0 meV per atom.

Entry 3:
First-principles (PBE-GGA) data for an optimized crystal structure of PuMg6Zn6, as listed in Alexandria via LeMat-Bulk.

Geometry as CIF:
```
data_PuMg6Zn6
_chemical_formula_sum 'Pu1 Mg6 Zn6'
_symmetry_space_group_name_H-M 'P 1'
_symmetry_Int_Tables_number 1
_cell_length_a 5.391
_cell_length_b 7.271
_cell_length_c 7.271
_cell_angle_alpha 82.70
_cell_angle_beta 68.24
_cell_angle_gamma 68.24
loop_
_symmetry_equiv_pos_as_xyz
'x,y,z'
loop_
_atom_site_label
_atom_site_type_symbol
_atom_site_fract_x
_atom_site_fract_y
_atom_site_fract_z
_atom_site_occupancy
Pu1 Pu 0.000 0.000 0.000 1
Zn1 Zn 0.500 0.221 0.779 1
Mg1 Mg 0.348 0.652 0.652 1
Zn2 Zn 0.500 0.779 0.221 1
Mg2 Mg 0.000 0.346 0.654 1
Mg3 Mg 0.697 0.803 0.803 1
Zn3 Zn 0.000 0.500 0.000 1
Mg4 Mg 0.000 0.654 0.346 1
Mg5 Mg 0.303 0.197 0.197 1
Zn4 Zn 0.000 0.000 0.500 1
Zn5 Zn 0.500 0.500 0.000 1
Mg6 Mg 0.652 0.348 0.348 1
Zn6 Zn 0.500 0.000 0.500 1
```

Number 1: total DFT energy (no corrections) -0.1487 hartree per atom. Number 2: total DFT energy (no corrections) -0.1414 hartree per atom. Number 3: total DFT energy (no corrections) -0.0926 hartree per atom.